# 1
Entry from Alexandria via LeMat-Bulk: a relaxed structure of CsRbPS2 (GGA-PBE).

Cell: 5.433 7.878 9.529 Å, 104.60 90.00 90.00°
Fractional positions:
S  0.217  0.240  0.030
P  0.000  0.000  0.000
Cs  0.234  0.500  0.750
S  0.217  0.760  0.470
Rb  0.540  0.000  0.750
Rb  0.460  0.000  0.250
P  0.000  0.000  0.500
S  0.783  0.240  0.530
Cs  0.766  0.500  0.250
S  0.783  0.760  0.970

Its space-group type is No. 13.

=====

# 2
Entry from Alexandria via LeMat-Bulk: a relaxed structure of CsRbPS2 (GGA-PBE).

Cell: 6.071 6.071 5.995 Å, 90.00 90.00 90.00°
Fractional positions:
P  0.000  0.000  0.500
S  0.000  0.500  0.000
Cs  0.000  0.000  0.000
S  0.500  0.000  0.000
Rb  0.500  0.500  0.500

Its space-group type is No. 123.

=====

# 3
Entry from Alexandria via LeMat-Bulk: a relaxed structure of Cs2RbPS4 (GGA-PBE).

Cell: 8.984 8.984 10.848 Å, 127.10 127.10 74.28°
Fractional positions:
Cs  0.500  0.000  0.500
S  0.710  0.313  0.512
S  0.000  0.000  0.802
S  0.000  0.000  0.198
S  0.813  0.210  0.012
P  0.500  0.500  0.500
P  0.000  0.000  0.000
Rb  0.000  0.500  0.500
Rb  0.000  0.500  0.000
Cs  0.000  0.000  0.500
Cs  0.500  0.000  0.000
S  0.500  0.500  0.698
S  0.187  0.790  0.988
Cs  0.500  0.500  0.000
S  0.500  0.500  0.302
S  0.290  0.687  0.488

Its space-group type is No. 74.

=====

| no. | uncorrected formation energy (eV/atom) |
| --- | --- |
| 1 | -0.39 |
| 2 | 0.69 |
| 3 | -0.55 |